(1)
DFT (PBE) results for a relaxed CaNd2Eu crystal.

Values from the calculation:
- magnetization (μB per formula unit) = 7.2
- E_form (meV/atom) = 97
- VASP energy (eV per cell) = -21.4
- relative energy among the computed polymorphs (kcal/mol of atoms) = 0.000

a = 3.7049 Å, b = 3.7049 Å, c = 10.8947 Å
α = 90.00°, β = 90.00°, γ = 90.00°
With the nearest neighbours (Å) after each atom.
Fractional coordinates of all 4 atoms:
Nd 0.0000 0.0000 0.7544  4 Nd 3.70, 4 Eu 3.74, 4 Ca 3.81
Eu 0.5000 0.5000 0.0000  4 Eu 3.70, 8 Nd 3.74
Nd 0.0000 0.0000 0.2456  4 Nd 3.70, 4 Eu 3.74, 4 Ca 3.81
Ca 0.5000 0.5000 0.5000  4 Ca 3.70, 8 Nd 3.81

(2)
DFT (PBE) results for a relaxed LiMg2BiIr crystal.

Values from the calculation:
- magnetization (μB per formula unit) = 0.0
- E_form (meV/atom) = 147
- VASP energy (eV per cell) = -17.1

a = 4.9826 Å, b = 4.7256 Å, c = 4.9826 Å
α = 90.00°, β = 90.00°, γ = 90.00°
With the nearest neighbours (Å) after each atom.
Fractional coordinates of all 5 atoms:
Ir 0.0000 0.0000 0.0000  2 Li 2.36, 4 Mg 2.49
Bi 0.5000 0.5000 0.5000  8 Mg 3.43, 4 Li 3.52
Mg 0.0000 0.0000 0.5000  2 Ir 2.49
Mg 0.5000 0.0000 0.0000  2 Ir 2.49
Li 0.0000 0.5000 0.0000  2 Ir 2.36

(3)
DFT (PBE) results for a relaxed CrTc2Rh crystal.

Values from the calculation:
- magnetization (μB per formula unit) = 0.1
- E_form (meV/atom) = 17
- VASP energy (eV per cell) = -37.6
- relative energy among the computed polymorphs (kcal/mol of atoms) = 0.000

a = 3.7839 Å, b = 3.7839 Å, c = 3.8532 Å
α = 90.00°, β = 90.00°, γ = 90.00°
With the nearest neighbours (Å) after each atom.
Fractional coordinates of all 4 atoms:
Rh 0.0000 0.5000 0.5000  4 Cr 2.68, 8 Tc 2.70
Tc 0.5000 0.5000 0.0000  4 Tc 2.68, 4 Cr 2.70, 4 Rh 2.70
Cr 0.5000 0.0000 0.5000  4 Rh 2.68, 8 Tc 2.70
Tc 0.0000 0.0000 0.0000  4 Tc 2.68, 4 Cr 2.70, 4 Rh 2.70

(4)
DFT (PBE) results for a relaxed ScAg5Pd6 crystal.

Values from the calculation:
- magnetization (μB per formula unit) = 0.0
- E_form (meV/atom) = -266
- VASP energy (eV per cell) = -54.9

a = 4.8071 Å, b = 5.9562 Å, c = 7.0165 Å
α = 90.00°, β = 95.58°, γ = 90.00°
With the nearest neighbours (Å) after each atom.
Fractional coordinates of all 12 atoms:
Pd 0.1581 0.2474 0.3275  1 Sc 2.77, 7 Ag 2.79-2.88, 4 Pd 2.95-3.01
Pd 0.5000 0.7535 0.0000  2 Sc 2.82, 6 Ag 2.82-2.84, 4 Pd 2.94-3.02
Pd 0.5000 0.2465 0.0000  2 Sc 2.82, 6 Ag 2.82-2.84, 4 Pd 2.94-3.02
Ag 0.6613 0.5000 0.3326  8 Pd 2.82-2.88, 4 Ag 2.94-2.98
Ag 0.6602 0.0000 0.3367  8 Pd 2.82-2.84, 3 Ag 2.88-2.98, 1 Sc 3.00
Pd 0.8419 0.2474 0.6725  1 Sc 2.77, 7 Ag 2.79-2.88, 4 Pd 2.95-3.01
Ag 0.3387 0.5000 0.6674  8 Pd 2.82-2.88, 4 Ag 2.94-2.98
Ag 0.3398 0.0000 0.6633  8 Pd 2.82-2.84, 3 Ag 2.88-2.98, 1 Sc 3.00
Sc 0.0000 0.0000 0.0000  8 Pd 2.77-2.82, 4 Ag 2.98-3.00
Pd 0.1581 0.7526 0.3275  1 Sc 2.77, 7 Ag 2.79-2.88, 4 Pd 2.95-3.01
Ag 0.0000 0.5000 0.0000  8 Pd 2.79-2.84, 2 Ag 2.97, 2 Sc 2.98
Pd 0.8419 0.7526 0.6725  1 Sc 2.77, 7 Ag 2.79-2.88, 4 Pd 2.95-3.01

(5)
DFT (PBE) results for a relaxed Cr2MoPd2 crystal.

Values from the calculation:
- magnetization (μB per formula unit) = 0.0
- E_form (meV/atom) = 319
- VASP energy (eV per cell) = -77.7

a = 7.3025 Å, b = 7.3025 Å, c = 2.6733 Å
α = 90.00°, β = 90.00°, γ = 90.00°
With the nearest neighbours (Å) after each atom.
Fractional coordinates of all 10 atoms:
Pd 0.8146 0.3146 0.5000  6 Cr 2.53-2.58, 2 Pd 2.67
Pd 0.3146 0.1854 0.5000  6 Cr 2.53-2.58, 2 Pd 2.67
Cr 0.3928 0.8928 0.0000  1 Cr 2.21
Cr 0.1072 0.3928 0.0000  1 Cr 2.21
Cr 0.8928 0.6072 0.0000  1 Cr 2.21
Pd 0.6854 0.8146 0.5000  6 Cr 2.53-2.58, 2 Pd 2.67
Mo 0.5000 0.5000 0.0000  2 Mo 2.67, 4 Cr 2.97, 8 Pd 2.98
Pd 0.1854 0.6854 0.5000  6 Cr 2.53-2.58, 2 Pd 2.67
Cr 0.6072 0.1072 0.0000  1 Cr 2.21
Mo 0.0000 0.0000 0.0000  2 Mo 2.67, 4 Cr 2.97, 8 Pd 2.98

(6)
DFT (PBE) results for a relaxed Pr3PtICl crystal.

Values from the calculation:
- magnetization (μB per formula unit) = 0.9
- E_form (uncorrected) (eV per formula unit) = -6.91
- VASP energy (eV per cell) = -61.4

a = 4.1543 Å, b = 9.7385 Å, c = 10.0608 Å
α = 92.75°, β = 90.00°, γ = 90.00°
With the nearest neighbours (Å) after each atom.
Fractional coordinates of all 12 atoms:
Pt 0.2500 0.6350 0.1468  6 Pr 2.87-3.04
Pr 0.2500 0.6538 0.4348  1 Pt 2.89, 2 Cl 2.90
I 0.7500 0.8748 0.8218  5 Pr 3.28-3.62
Pr 0.7500 0.8377 0.1437  2 Pt 2.87, 1 Cl 2.89
Cl 0.7500 0.8615 0.4309  3 Pr 2.89-2.90
Pr 0.7500 0.3462 0.5652  1 Pt 2.89, 2 Cl 2.90
Cl 0.2500 0.1385 0.5691  3 Pr 2.89-2.90
I 0.2500 0.1252 0.1782  5 Pr 3.28-3.62
Pt 0.7500 0.3650 0.8532  6 Pr 2.87-3.04
Pr 0.2500 0.1623 0.8563  2 Pt 2.87, 1 Cl 2.89
Pr 0.7500 0.4275 0.1521  3 Pt 2.90-3.04
Pr 0.2500 0.5725 0.8479  3 Pt 2.90-3.04

(7)
DFT (PBE) results for a relaxed LiZnSn2 crystal.

Values from the calculation:
- magnetization (μB per formula unit) = 0.0
- E_form (meV/atom) = -119
- VASP energy (eV per cell) = -11.7

a = 4.0506 Å, b = 4.5819 Å, c = 4.5819 Å
α = 90.00°, β = 90.00°, γ = 90.00°
With the nearest neighbours (Å) after each atom.
Fractional coordinates of all 4 atoms:
Sn 0.0000 0.5000 0.0000  4 Li 3.06, 4 Zn 3.06, 4 Sn 3.24
Sn 0.0000 0.0000 0.5000  4 Li 3.06, 4 Zn 3.06, 4 Sn 3.24
Li 0.5000 0.5000 0.5000  8 Sn 3.06, 4 Zn 3.24
Zn 0.5000 0.0000 0.0000  8 Sn 3.06, 4 Li 3.24

(8)
DFT (PBE) results for a relaxed Co2IrCl crystal.

Values from the calculation:
- magnetization (μB per formula unit) = 3.4
- E_form (uncorrected) (eV per formula unit) = 1.85
- VASP energy (eV per cell) = -23.1
- relative energy among the computed polymorphs (kcal/mol of atoms) = 4.645

a = 4.3838 Å, b = 2.7393 Å, c = 4.5484 Å
α = 90.00°, β = 90.00°, γ = 90.00°
With the nearest neighbours (Å) after each atom.
Fractional coordinates of all 4 atoms:
Co 0.0000 0.9999 0.9243  2 Cl 2.23
Ir 0.0000 0.5000 0.4157  8 Co 2.61-2.69, 2 Ir 2.74
Cl 0.5000 0.9998 0.8321  4 Co 2.23-2.29
Co 0.5000 0.0003 0.3280  2 Cl 2.26-2.29